Cs3H6Pb2 | PBE | relaxed

Cell: 5.2879 10.1421 12.3269 Å, 90.00 90.00 90.00°
Closest atoms and distances in Å follow each position.
Element x y z (fractional)
Cs  0.0000  0.0000  0.0000  10 H 3.16-3.34
Cs  0.0000  0.5000  0.1846  4 H 3.01-3.15
Cs  0.0000  0.5000  0.8154  4 H 3.01-3.15
Cs  0.5000  0.0000  0.3154  4 H 3.01-3.15
Cs  0.5000  0.0000  0.6846  4 H 3.01-3.15
Cs  0.5000  0.5000  0.5000  10 H 3.16-3.34
H  0.0000  0.3462  0.3936  1 Pb 1.94
H  0.0000  0.3462  0.6064  1 Pb 1.94
H  0.0000  0.6538  0.3936  1 Pb 1.94
H  0.0000  0.6538  0.6064  1 Pb 1.94
H  0.1539  0.3008  0.0000  1 Pb 1.94
H  0.3461  0.8008  0.5000  1 Pb 1.94
H  0.5000  0.1538  0.1064  1 Pb 1.94
H  0.5000  0.1538  0.8936  1 Pb 1.94
H  0.5000  0.8462  0.1064  1 Pb 1.94
H  0.5000  0.8462  0.8936  1 Pb 1.94
H  0.6539  0.1992  0.5000  1 Pb 1.94
H  0.8461  0.6992  0.0000  1 Pb 1.94
Pb  0.0206  0.2052  0.5000  3 H 1.94
Pb  0.4794  0.7052  0.0000  3 H 1.94
Pb  0.5206  0.2948  0.0000  3 H 1.94
Pb  0.9794  0.7948  0.5000  3 H 1.94

E ... -2.728 eV/atom
D(E_F) ... 6.59 states/eV/cell